# NaSb2TeF | the Alexandria database | PBE | relaxed
data_NaSb2TeF
_cell_length_a 4.8072
_cell_length_b 4.8072
_cell_length_c 5.6387
_cell_angle_alpha 90.00
_cell_angle_beta 90.00
_cell_angle_gamma 90.00
_symmetry_space_group_name_H-M 'P 4/m m m'
_symmetry_Int_Tables_number 123
_symmetry_space_group_name_Hall '-P 4 2'
loop_
_atom_site_label
_atom_site_type_symbol
_atom_site_fract_x
_atom_site_fract_y
_atom_site_fract_z
Na1 Na 0.0000 0.0000 0.0000
Sb1 Sb 0.0000 0.5000 0.5000
Te1 Te 0.5000 0.5000 0.0000
F1 F 0.5000 0.5000 0.5000
# ΔE_f (raw)   -0.350 eV/atom
# Offset from the most stable computed form   0.0000 eV per atom